No. 1
# BaSrMo2 GGA-PBEsol optimized geometry
# Crystal system: cubic
# Space group: F-43m, No. 216
# Energy of formation, eV per atom: 1.369
# Energy relative to the lowest polymorph listed for this composition, eV/atom: 0.589
# Uncorrected energy, eV per atom: -5.512
data_BaSrMo2
_chemical_formula_sum 'Ba1 Sr1 Mo2'
_symmetry_space_group_name_H-M 'P 1'
_symmetry_Int_Tables_number 1
_cell_length_a 5.089
_cell_length_b 5.089
_cell_length_c 5.089
_cell_angle_alpha 60.00
_cell_angle_beta 60.00
_cell_angle_gamma 60.00
loop_
_symmetry_equiv_pos_as_xyz
'x,y,z'
loop_
_atom_site_label
_atom_site_fract_x
_atom_site_fract_y
_atom_site_fract_z
_atom_site_occupancy
Ba1 0.000 0.000 0.000 1
Sr1 0.250 0.250 0.250 1
Mo1 0.500 0.500 0.500 1
Mo2 0.750 0.750 0.750 1

=====

No. 2
# V2O3 GGA-PBEsol optimized geometry
# Crystal system: cubic
# Raw formation energy, kJ per mole of atoms: -215.0
# Space group: Ia-3, No. 206
# Uncorrected energy, eV per atom: -9.232
data_V2O3
_chemical_formula_sum 'V16 O24'
_symmetry_space_group_name_H-M 'P 1'
_symmetry_Int_Tables_number 1
_cell_length_a 8.047
_cell_length_b 8.047
_cell_length_c 8.047
_cell_angle_alpha 109.47
_cell_angle_beta 109.47
_cell_angle_gamma 109.47
loop_
_symmetry_equiv_pos_as_xyz
'x,y,z'
loop_
_atom_site_label
_atom_site_fract_x
_atom_site_fract_y
_atom_site_fract_z
_atom_site_occupancy
V1 0.000 0.000 0.500 1
V2 0.000 0.500 0.000 1
V3 0.034 0.750 0.784 1
V4 0.216 0.966 0.250 1
V5 0.250 0.216 0.966 1
V6 0.250 0.716 0.466 1
V7 0.284 0.534 0.750 1
V8 0.466 0.250 0.716 1
V9 0.500 0.000 0.000 1
V10 0.500 0.500 0.500 1
V11 0.534 0.750 0.284 1
V12 0.716 0.466 0.250 1
V13 0.750 0.284 0.534 1
V14 0.750 0.784 0.034 1
V15 0.784 0.034 0.750 1
V16 0.966 0.250 0.216 1
O1 0.011 0.048 0.274 1
O2 0.037 0.489 0.764 1
O3 0.048 0.274 0.011 1
O4 0.226 0.274 0.736 1
O5 0.226 0.452 0.463 1
O6 0.236 0.963 0.511 1
O7 0.264 0.774 0.726 1
O8 0.274 0.011 0.048 1
O9 0.274 0.736 0.226 1
O10 0.452 0.463 0.226 1
O11 0.463 0.226 0.452 1
O12 0.489 0.764 0.037 1
O13 0.511 0.236 0.963 1
O14 0.537 0.774 0.548 1
O15 0.548 0.537 0.774 1
O16 0.726 0.264 0.774 1
O17 0.726 0.989 0.952 1
O18 0.736 0.226 0.274 1
O19 0.764 0.037 0.489 1
O20 0.774 0.548 0.537 1
O21 0.774 0.726 0.264 1
O22 0.952 0.726 0.989 1
O23 0.963 0.511 0.236 1
O24 0.989 0.952 0.726 1